(1)
The following is a GGA-PBEsol calculation of an optimized crystal structure of LuTlS2, from Alexandria.

Cell and atoms, written as POSCAR:
```
LuTlS2
1.0
-0.430 3.729 0.922
-2.487 1.031 2.773
4.385 0.959 6.269
S Tl Lu
2 1 1
Direct
0.268 0.268 0.197 S
0.732 0.732 0.803 S
0.500 0.500 0.500 Tl
0.000 0.000 0.000 Lu
```

Properties
Crystal system = trigonal
Uncorrected energy = -5.56 eV per atom
Total moment = 0.000 μB/f.u.



(2)
The following is a GGA-PBEsol calculation of an optimized crystal structure of Mg2B2O5, from Alexandria.

Cell and atoms, written as POSCAR:
```
Mg2B2O5
1.0
3.112 -0.009 0.013
-0.220 6.170 0.006
-0.052 -2.321 8.944
O B Mg
10 4 4
Direct
0.237 0.304 0.446 O
0.062 0.862 0.800 O
0.729 0.276 0.995 O
0.722 0.094 0.681 O
0.938 0.138 0.200 O
0.759 0.523 0.243 O
0.763 0.696 0.554 O
0.278 0.906 0.319 O
0.241 0.477 0.757 O
0.271 0.724 0.005 O
0.800 0.318 0.144 B
0.166 0.120 0.330 B
0.834 0.880 0.670 B
0.200 0.682 0.856 B
0.768 0.789 0.145 Mg
0.734 0.373 0.602 Mg
0.266 0.627 0.398 Mg
0.232 0.211 0.855 Mg
```

Properties
Crystal system = triclinic
Uncorrected energy = -7.51 eV per atom
Total moment = 0.000 μB/f.u.



(3)
The following is a GGA-PBEsol calculation of an optimized crystal structure of Cr3Co, from Alexandria.

Cell and atoms, written as POSCAR:
```
Cr3Co
1.0
2.410 0.011 0.000
-0.691 2.309 0.000
0.000 0.000 7.759
Co Cr
1 3
Direct
0.000 0.000 0.000 Co
0.000 0.000 0.500 Cr
0.500 0.500 0.243 Cr
0.500 0.500 0.757 Cr
```

Properties
Crystal system = orthorhombic
Uncorrected energy = -9.54 eV per atom
Total moment = 0.310 μB/f.u.
ΔE_f = 80 meV per atom



(4)
The following is a GGA-PBEsol calculation of an optimized crystal structure of Er2AgIr, from Alexandria.

Cell and atoms, written as POSCAR:
```
Er2AgIr
1.0
4.844 0.000 0.000
2.422 4.195 0.000
2.422 1.398 3.955
Ag Er Ir
1 2 1
Direct
0.500 0.500 0.500 Ag
0.750 0.750 0.750 Er
0.250 0.250 0.250 Er
0.000 0.000 0.000 Ir
```

Properties
Crystal system = cubic
Uncorrected energy = -6.39 eV per atom
Total moment = 0.000 μB/f.u.
ΔE_f = -642 meV per atom